# PBE-GGA BaLi2Cr, optimized geometry
# * VASP energy: -3.23 eV/atom
# * formation energy: 2.44 eV per formula unit
# * DOS(E_F): 5.70 states/eV/cell
# * offset from the most stable computed form: 180 meV per atom
# * total moment: 4.05 μB per formula unit
data_BaLi2Cr
_chemical_formula_sum 'Ba2 Li4 Cr2'
_cell_length_a 6.916
_cell_length_b 8.432
_cell_length_c 3.751
_cell_angle_alpha 90.00
_cell_angle_beta 90.00
_cell_angle_gamma 90.00
_space_group_name_H-M_alt 'C m m m'
_space_group_IT_number 65
_space_group_name_Hall '-C 2 2'
loop_
_atom_site_label
_atom_site_fract_x
_atom_site_fract_y
_atom_site_fract_z
Ba1 0.000 0.000 0.000
Li1 0.250 0.250 0.500
Cr1 0.000 0.500 0.000